[1]
The following is a DFT calculation (PBE) of a geometry-optimized LuZnInSe3 structure.

```
LuZnInSe3
1.0
11.6177 0.0000 0.0000
0.0000 4.1750 0.0000
0.0000 0.0000 12.4632
Lu Se Zn In
4 12 4 4
Cartesian
6.0548 1.0438 8.4847 Lu
11.3718 3.1312 2.2531 Lu
0.2459 1.0438 10.2102 Lu
5.5630 3.1312 3.9785 Lu
1.0862 1.0438 0.8377 Se
11.1838 1.0438 4.2150 Se
2.7077 3.1312 3.8835 Se
5.3749 1.0438 2.0166 Se
3.1011 1.0438 10.1151 Se
4.7226 3.1312 7.0693 Se
10.5315 3.1312 11.6255 Se
8.9100 1.0438 8.5797 Se
6.8951 1.0438 5.3939 Se
6.2428 3.1312 10.4466 Se
0.4339 3.1312 8.2482 Se
8.5166 3.1312 2.3481 Se
2.8731 3.1312 8.7013 Zn
8.7447 1.0438 3.7620 Zn
2.9358 1.0438 2.4696 Zn
8.6819 3.1312 9.9936 Zn
3.8049 3.1312 12.4200 In
2.0039 1.0438 6.1884 In
9.6138 3.1312 6.2748 In
7.8128 1.0438 0.0432 In
```

Calculated values
Calculated total energy, eV per cell: -99.441
Total moment, μB/f.u.: 0.00

[2]
The following is a DFT calculation (PBE) of a geometry-optimized LuZnInSe3 structure.

```
LuZnInSe3
1.0
9.9654 0.0000 0.0000
0.0000 4.1034 0.0000
0.0000 0.0000 15.4420
Se Lu Zn In
12 4 4 4
Cartesian
8.0901 1.0258 12.3079 Se
6.6938 1.0258 8.0332 Se
0.1338 1.0258 6.0884 Se
5.1166 1.0258 1.6326 Se
1.8753 3.0775 3.1341 Se
9.8316 3.0775 9.3536 Se
8.2544 3.0775 0.3122 Se
4.8489 3.0775 13.8094 Se
6.8580 3.0775 4.5869 Se
3.2717 3.0775 7.4088 Se
3.1074 1.0258 10.8551 Se
1.7111 1.0258 15.1298 Se
1.7483 1.0258 8.4922 Lu
6.7310 1.0258 14.6708 Lu
8.2172 3.0775 6.9498 Lu
3.2344 3.0775 0.7712 Lu
1.7552 3.0775 5.5208 Zn
3.2276 1.0258 13.2418 Zn
8.2103 1.0258 9.9213 Zn
6.7379 3.0775 2.2003 Zn
4.6209 1.0258 4.8301 In
0.3619 3.0775 12.5511 In
9.6036 1.0258 2.8909 In
5.3446 3.0775 10.6119 In
```

Calculated values
Calculated total energy, eV per cell: -99.454
Total moment, μB/f.u.: 0.00

[3]
The following is a DFT calculation (PBE) of a geometry-optimized LuZnInSe3 structure.

```
LuZnInSe3
1.0
14.7979 0.0000 0.0000
0.0000 4.0564 0.0000
0.0000 0.0000 10.9291
Se Zn Lu In
12 4 4 4
Cartesian
5.3416 1.0141 8.2543 Se
12.7405 1.0141 8.1393 Se
13.3656 3.0423 4.6110 Se
13.5840 1.0141 1.2915 Se
2.0573 3.0423 2.7898 Se
5.9667 3.0423 0.8535 Se
8.6128 3.0423 6.7561 Se
1.2139 3.0423 9.6376 Se
1.4323 1.0141 6.3181 Se
9.4563 3.0423 2.6748 Se
6.1851 1.0141 4.1730 Se
8.8312 1.0141 10.0756 Se
14.5190 1.0141 9.8490 Zn
7.1200 1.0141 6.5446 Zn
7.6779 3.0423 4.3845 Zn
0.2789 3.0423 1.0801 Zn
0.3594 1.0141 3.7616 Lu
7.0396 3.0423 9.2261 Lu
7.7583 1.0141 1.7030 Lu
14.4385 3.0423 7.1675 Lu
3.6245 1.0141 0.4285 In
3.7744 3.0423 5.8930 In
11.0235 1.0141 5.0361 In
11.1734 3.0423 10.5006 In
```

Calculated values
Calculated total energy, eV per cell: -101.047
Total moment, μB/f.u.: 0.00

[4]
The following is a DFT calculation (PBE) of a geometry-optimized LuZnInSe3 structure.

```
LuZnInSe3
1.0
8.6975 -2.0365 0.0000
8.6975 2.0365 0.0000
-2.1116 0.0000 8.7256
Se Zn Lu In
6 2 2 2
Cartesian
9.9359 0.0000 6.9566 Se
4.5050 0.0000 5.5305 Se
-1.0558 0.0000 4.3628 Se
8.6975 0.0000 0.0000 Se
5.3475 0.0000 1.7691 Se
10.7784 0.0000 3.1951 Se
7.5273 0.0000 6.2681 Zn
7.7560 0.0000 2.4576 Zn
13.5181 0.0000 3.6253 Lu
1.7652 0.0000 5.1003 Lu
13.0309 0.0000 8.1058 In
2.2524 0.0000 0.6199 In
```

Calculated values
Calculated total energy, eV per cell: -49.124
Total moment, μB/f.u.: 0.00

- Which value of total moment does entry 4 give?
  0.00 μB/f.u.

- Look up the calculated total energy of the third one.
  -101.047 eV per cell